A relaxed structure of Ca2Sb2Pb, computed with GGA-PBE.

For the density of states at the Fermi level, the calculation gives 3.194 states/eV/cell. The calculation puts the size of the total moment at 0.000 μB per formula unit. Its symmetry is I4/mmm (139). The calculation puts the distance to the lowest polymorph of the same formula at 308 meV per atom. The calculation puts the energy relative to the elements, uncorrected at -0.365 eV per atom.

Structure (extended XYZ):
```
5
Lattice="-3.3102 1.8907 3.9455 -4.2658 -2.4939 -2.3838 -2.7669 -5.0351 3.9058" Properties=species:S:1:pos:R:3 pbc="T T T"
Pb 0.0000 0.0000 0.0000
Sb -3.5395 -1.4533 1.5412
Sb -6.8033 -4.1850 3.9263
Ca -4.9325 -1.7230 4.3161
Ca -5.4103 -3.9153 1.1514
```